No. 1
VASP calculation (PBE-GGA) on a relaxed structure of HfZrSi2.

Values from the calculation:
E above lowest polymorph, eV/atom: 0.001
Calculated total energy, eV per cell: -65.71
Total magnetic moment, μB per atom: 0.0009
Space group: No. 26

abc: 3.793 5.286 6.958
angles: 90.00 90.00 90.00
Sites, in units of the cell vectors:
1 Hf 0.000 0.125 0.000
2 Hf 0.000 0.875 0.500
3 Zr 0.500 0.375 0.648
4 Zr 0.500 0.625 0.148
5 Si 0.000 0.388 0.367
6 Si 0.000 0.612 0.867
7 Si 0.500 0.110 0.281
8 Si 0.500 0.890 0.781

No. 2
VASP calculation (PBE-GGA) on a relaxed structure of LuMgZnFe.

Values from the calculation:
E above lowest polymorph, eV/atom: 0.064
Calculated total energy, eV per cell: -59.60
Total magnetic moment, μB per atom: 0.5806
Space group: No. 216

abc: 6.590 6.590 6.590
angles: 90.00 90.00 90.00
Sites, in units of the cell vectors:
1 Lu 0.000 0.000 0.000
2 Lu 0.000 0.500 0.500
3 Lu 0.500 0.000 0.500
4 Lu 0.500 0.500 0.000
5 Mg 0.250 0.250 0.250
6 Mg 0.250 0.750 0.750
7 Mg 0.750 0.250 0.750
8 Mg 0.750 0.750 0.250
9 Zn 0.000 0.000 0.500
10 Zn 0.000 0.500 0.000
11 Zn 0.500 0.000 0.000
12 Zn 0.500 0.500 0.500
13 Fe 0.250 0.250 0.750
14 Fe 0.250 0.750 0.250
15 Fe 0.750 0.250 0.250
16 Fe 0.750 0.750 0.750

No. 3
VASP calculation (PBE-GGA) on a relaxed structure of Pm3Pt8Au.

Values from the calculation:
Calculated total energy, eV per cell: -77.17
Formation energy from the elements, eV per atom: -0.94
Total magnetic moment, μB per atom: 0.0003
Space group: No. 160

abc: 9.443 9.443 9.443
angles: 33.47 33.47 33.47
Sites, in units of the cell vectors:
1 Pm 0.000 0.000 0.000
2 Pm 0.130 0.130 0.130
3 Pm 0.611 0.611 0.611
4 Pt 0.059 0.059 0.565
5 Pt 0.059 0.560 0.560
6 Pt 0.059 0.565 0.059
7 Pt 0.310 0.310 0.310
8 Pt 0.560 0.059 0.560
9 Pt 0.560 0.560 0.059
10 Pt 0.565 0.059 0.059
11 Pt 0.810 0.810 0.810
12 Au 0.492 0.492 0.492

No. 4
VASP calculation (PBE-GGA) on a relaxed structure of Tb2H.

Values from the calculation:
Calculated total energy, eV per cell: -17.18
Total magnetic moment, μB per atom: 0.3347
Space group: No. 227

abc: 6.391 6.391 6.391
angles: 60.00 60.00 60.00
Sites, in units of the cell vectors:
1 Tb 0.000 0.000 0.000
2 Tb 0.000 0.000 0.500
3 Tb 0.000 0.500 0.000
4 Tb 0.500 0.000 0.000
5 H 0.375 0.375 0.375
6 H 0.625 0.625 0.625